[1]
{
  "formula": "HgAs2Pd2",
  "functional": "PBE",
  "state": "relaxed",
  "sg": "I4/mmm (139)",
  "ef_ev_per_atom": -0.093,
  "relative_energy_kj_per_mol_fu": 1,
  "dos_at_fermi_per_ev_cell": 3.51,
  "lattice": [[-2.219, 2.219, 5.045], [2.219, -2.219, 5.045], [2.219, 2.219, -5.045]],
  "species": ["Hg", "As", "As", "Pd", "Pd"],
  "fractional_positions": [[0.000, 0.000, 0.000], [0.372, 0.372, 0.000], [0.628, 0.628, 0.000], [0.250, 0.750, 0.500], [0.750, 0.250, 0.500]]
}

---

[2]
{
  "formula": "HgAs2Pd2",
  "functional": "PBE",
  "state": "relaxed",
  "sg": "P4/mbm (127)",
  "ef_ev_per_atom": -0.094,
  "relative_energy_kj_per_mol_fu": 0,
  "dos_at_fermi_per_ev_cell": 3.22,
  "lattice": [[7.704, 0.000, 0.000], [0.000, 7.704, 0.000], [0.000, 0.000, 3.110]],
  "species": ["Hg", "Hg", "As", "As", "As", "As", "Pd", "Pd", "Pd", "Pd"],
  "fractional_positions": [[0.000, 0.000, 0.000], [0.500, 0.500, 0.000], [0.141, 0.359, 0.500], [0.359, 0.859, 0.500], [0.641, 0.141, 0.500], [0.859, 0.641, 0.500], [0.144, 0.644, 0.000], [0.356, 0.144, 0.000], [0.644, 0.856, 0.000], [0.856, 0.356, 0.000]]
}

---

[3]
{
  "formula": "HgAsPd3",
  "functional": "PBE",
  "state": "relaxed",
  "sg": "Pm-3m (221)",
  "ef_ev_per_atom": 1.040,
  "relative_energy_kj_per_mol_fu": 616,
  "dos_at_fermi_per_ev_cell": 3.02,
  "lattice": [[4.999, 0.000, 0.000], [0.000, 4.999, 0.000], [0.000, 0.000, 4.999]],
  "species": ["Hg", "As", "Pd", "Pd", "Pd"],
  "fractional_positions": [[0.000, 0.000, 0.000], [0.500, 0.500, 0.500], [0.000, 0.000, 0.500], [0.000, 0.500, 0.000], [0.500, 0.000, 0.000]]
}

---

[4]
{
  "formula": "HgAs3Pd",
  "functional": "PBE",
  "state": "relaxed",
  "sg": "Pm-3m (221)",
  "ef_ev_per_atom": 0.545,
  "relative_energy_kj_per_mol_fu": 0,
  "dos_at_fermi_per_ev_cell": 4.42,
  "lattice": [[4.936, 0.000, 0.000], [0.000, 4.936, 0.000], [0.000, 0.000, 4.936]],
  "species": ["Hg", "As", "As", "As", "Pd"],
  "fractional_positions": [[0.000, 0.000, 0.000], [0.000, 0.500, 0.500], [0.500, 0.000, 0.500], [0.500, 0.500, 0.000], [0.500, 0.500, 0.500]]
}

---

| no. | total DFT energy (no corrections) (eV/atom) | calculated volume (A^3/atom) |
| --- | --- | --- |
| 1 | -4.090 | 19.9 |
| 2 | -4.092 | 18.5 |
| 3 | -3.066 | 25.0 |
| 4 | -3.344 | 24.0 |